No. 1
Here is a geometry-optimized TmHfPSe structure from Alexandria via LeMat-Bulk. Energies are from PBE.

The calculation puts the uncorrected formation energy at -1.44 eV/atom.

The structure belongs to space group R3m (No. 160, hexagonal axes); the cell edges are 3.7706, 3.7706 and 20.1345 Å and the angles 90.00°, 90.00° and 120.00°. The asymmetric unit holds Tm at (0.0000, 0.0000, 0.0000), Hf at (0.0000, 0.0000, 0.8116), P at (0.0000, 0.0000, 0.4115) and Se at (0.0000, 0.0000, 0.2338).

=====

No. 2
Here is a geometry-optimized NdSmGaAu structure from Alexandria via LeMat-Bulk. Energies are from PBE.

For the raw total energy, the calculation gives -0.1696 Ha/atom.

The structure belongs to space group Amm2 (No. 38); the cell edges are 4.5962, 3.9542 and 11.4275 Å and the angles 90.00°, 90.00° and 90.00°. The asymmetric unit holds Nd at (0.0000, 0.0000, 0.0000), Sm at (0.5000, 0.0000, 0.2830), Ga at (0.5000, 0.0000, 0.5631) and Au at (0.0000, 0.0000, 0.7219).

=====

Taking the records one at a time from the top gives density values of 9.19, 8.98 g/cm3.